Material: NaTiIO6
Method: DFT, PBE
State: relaxed

abc: 5.2015 5.2015 10.4521
angles: 90.00 90.00 120.00
Closest atoms and distances in Å follow each position.
Space group P-31c (No. 163)
Symmetry-distinct sites (fractional):
Na1 0.0000 0.0000 0.0000 (multiplicity 2)  6 O 2.51
Ti1 0.3333 0.6667 0.2500 (multiplicity 2)  6 O 1.99
I1 0.3333 0.6667 0.7500 (multiplicity 2)  6 O 1.91
O1 0.0115 0.3856 0.6472 (multiplicity 12)  1 I 1.91, 1 Ti 1.99

Output
Crystal system: trigonal
Energy relative to the elements, uncorrected, eV per atom: -1.48
Mass density, g cm⁻³: 4.0